Entry 1:
Computed, not measured: a relaxed PrSiAsIr2 crystal at the GGA-PBE level of DFT.

Unit cell a=4.2925 b=4.2925 c=9.8897 alpha=90.00 beta=90.00 gamma=90.00
Closest atoms and distances in Å follow each position.
Positions (direct):
Ir 0.0000 0.5000 0.8702  1 Si 2.40, 4 As 2.50
Ir 0.5000 0.5000 0.5000  4 Si 2.49
Ir 0.5000 0.0000 0.1298  1 Si 2.40, 4 As 2.50
Ir 0.0000 0.0000 0.5000  4 Si 2.49
Si 0.0000 0.5000 0.6275  5 Ir 2.40-2.49
Si 0.5000 0.0000 0.3725  5 Ir 2.40-2.49
Pr 0.5000 0.0000 0.7540  4 As 3.24, 8 Ir 3.25-3.30, 4 Si 3.28
Pr 0.0000 0.5000 0.2460  4 As 3.24, 8 Ir 3.25-3.30, 4 Si 3.28
As 0.0000 0.0000 0.0000  4 Ir 2.50
As 0.5000 0.5000 0.0000  4 Ir 2.50

Total magnetization ... 0.01 μB per cell
Space-group type ... P4/nmm
Final energy ... -0.545 Ry/atom

Entry 2:
Computed, not measured: a relaxed Cd2Cu2SeF6 crystal at the GGA-PBE level of DFT.

Unit cell a=7.6030 b=7.6030 c=7.6030 alpha=60.00 beta=60.00 gamma=60.00
Closest atoms and distances in Å follow each position.
Positions (direct):
F 0.3054 0.6946 0.3054  2 Cu 2.04
F 0.5554 0.9446 0.9446  2 Cu 2.04
F 0.6946 0.6946 0.3054  2 Cu 2.04
F 0.9446 0.5554 0.9446  2 Cu 2.04
F 0.3054 0.3054 0.6946  2 Cu 2.04
F 0.3054 0.6946 0.6946  2 Cu 2.04
F 0.9446 0.5554 0.5554  2 Cu 2.04
F 0.9446 0.9446 0.5554  2 Cu 2.04
F 0.6946 0.3054 0.6946  2 Cu 2.04
F 0.5554 0.9446 0.5554  2 Cu 2.04
F 0.5554 0.5554 0.9446  2 Cu 2.04
F 0.6946 0.3054 0.3054  2 Cu 2.04
Se 0.0000 0.0000 0.0000  4 Cd 2.33
Se 0.2500 0.2500 0.2500  4 Cd 2.33
Cu 0.6250 0.6250 0.1250  6 F 2.04
Cu 0.6250 0.6250 0.6250  6 F 2.04
Cu 0.6250 0.1250 0.6250  6 F 2.04
Cu 0.1250 0.6250 0.6250  6 F 2.04
Cd 0.6250 0.1250 0.1250  2 Se 2.33
Cd 0.1250 0.6250 0.1250  2 Se 2.33
Cd 0.1250 0.1250 0.1250  2 Se 2.33
Cd 0.1250 0.1250 0.6250  2 Se 2.33

Space-group type ... Fd-3m
Final energy ... -0.263 Ry/atom

Entry 3:
Computed, not measured: a relaxed Sc2Nb4Cu3C3 crystal at the GGA-PBE level of DFT.

Unit cell a=5.4787 b=5.4787 c=13.9022 alpha=101.72 beta=101.72 gamma=60.07
Closest atoms and distances in Å follow each position.
Positions (direct):
Nb 0.8556 0.6943 0.5851  3 C 2.13-2.19
Nb 0.9800 0.7964 0.9149  3 C 2.13-2.20
Nb 0.1444 0.3057 0.4148  3 C 2.13-2.19
Nb 0.7964 0.9800 0.4149  3 C 2.13-2.20
Nb 0.0200 0.2036 0.0851  3 C 2.13-2.20
Nb 0.6943 0.8556 0.0851  3 C 2.13-2.19
Nb 0.3057 0.1444 0.9149  3 C 2.13-2.19
Nb 0.2036 0.0200 0.5851  3 C 2.13-2.20
Cu 0.9274 0.0726 0.2500  4 Cu 2.74-2.75, 4 Nb 2.74
Cu 0.4130 0.1015 0.2488  4 Nb 2.73, 4 Cu 2.74-2.75
Cu 0.0726 0.9274 0.7500  4 Cu 2.74-2.75, 4 Nb 2.74
Cu 0.8985 0.5870 0.2512  4 Nb 2.73, 4 Cu 2.74-2.75
Cu 0.1015 0.4130 0.7488  4 Nb 2.73, 4 Cu 2.74-2.75
Cu 0.5870 0.8985 0.7512  4 Nb 2.73, 4 Cu 2.74-2.75
C 0.5000 0.0000 0.5000  4 Nb 2.14-2.15, 2 Sc 2.39
C 0.3328 0.8345 0.0000  4 Nb 2.13-2.20, 2 Sc 2.34-2.35
C 0.8345 0.3328 0.5000  4 Nb 2.13-2.20, 2 Sc 2.34-2.35
C 0.6672 0.1655 0.0000  4 Nb 2.13-2.20, 2 Sc 2.34-2.35
C 0.1655 0.6672 0.5000  4 Nb 2.13-2.20, 2 Sc 2.34-2.35
C 0.0000 0.5000 0.0000  4 Nb 2.14-2.15, 2 Sc 2.39
Sc 0.4613 0.6217 0.3896  3 C 2.34-2.39
Sc 0.3783 0.5387 0.1104  3 C 2.34-2.39
Sc 0.6217 0.4613 0.8896  3 C 2.34-2.39
Sc 0.5387 0.3783 0.6104  3 C 2.34-2.39

Total magnetization ... 0.01 μB per cell
Space-group type ... C2/c
Final energy ... -0.587 Ry/atom

Entry 4:
Computed, not measured: a relaxed RbNaAsPd crystal at the GGA-PBE level of DFT.

Unit cell a=5.7972 b=6.1566 c=6.1566 alpha=76.27 beta=90.00 gamma=90.00
Closest atoms and distances in Å follow each position.
Positions (direct):
Pd 0.0000 0.0120 0.0120  2 As 2.45
Pd 0.5000 0.0120 0.0120  2 As 2.45
Na 0.7500 0.1766 0.4635  4 As 3.25-3.45, 3 Rb 3.40-3.61, 4 Pd 3.49-3.59, 2 Na 3.63
Na 0.2500 0.4635 0.1766  4 As 3.25-3.45, 3 Rb 3.40-3.61, 4 Pd 3.49-3.59, 2 Na 3.63
Rb 0.2500 0.8168 0.5254  4 As 3.27-3.43, 3 Na 3.40-3.61, 2 Pd 3.43, 2 Rb 3.65
Rb 0.7500 0.5254 0.8168  4 As 3.27-3.43, 3 Na 3.40-3.61, 2 Pd 3.43, 2 Rb 3.65
As 0.2500 0.2554 0.7383  2 Pd 2.45
As 0.7500 0.7383 0.2554  2 Pd 2.45

ΔE to the lowest computed polymorph ... 37 meV/atom
Space-group type ... Ama2
Final energy ... -0.246 Ry/atom

Entry 5:
Computed, not measured: a relaxed ZrInCuTc crystal at the GGA-PBE level of DFT.

Unit cell a=4.6435 b=4.6435 c=4.6435 alpha=60.00 beta=60.00 gamma=60.00
Closest atoms and distances in Å follow each position.
Positions (direct):
In 0.0000 0.0000 0.0000  4 Zr 2.84, 4 Cu 2.84
Tc 0.5000 0.5000 0.5000  4 Zr 2.84, 4 Cu 2.84
Cu 0.7500 0.7500 0.7500  4 In 2.84, 4 Tc 2.84
Zr 0.2500 0.2500 0.2500  4 In 2.84, 4 Tc 2.84

ΔE to the lowest computed polymorph ... 242 meV/atom
Total magnetization ... 0.01 μB per cell
Space-group type ... F-43m
Final energy ... -0.450 Ry/atom

Entry 6:
Computed, not measured: a relaxed Tb2PmCo9 crystal at the GGA-PBE level of DFT.

Unit cell a=8.5915 b=8.5915 c=8.5915 alpha=33.78 beta=33.78 gamma=33.78
Closest atoms and distances in Å follow each position.
Positions (direct):
Tb 0.8599 0.8599 0.8599  12 Co 2.87-3.07, 3 Tb 3.16
Tb 0.1401 0.1401 0.1401  12 Co 2.87-3.07, 3 Tb 3.16
Co 0.3348 0.3348 0.3348  6 Co 2.43-2.47
Co 0.5828 0.0790 0.5828  7 Co 2.43-2.53
Co 0.4172 0.9210 0.4172  7 Co 2.43-2.53
Co 0.5828 0.5828 0.0790  7 Co 2.43-2.53
Co 0.9210 0.4172 0.4172  7 Co 2.43-2.53
Co 0.0790 0.5828 0.5828  7 Co 2.43-2.53
Co 0.5000 0.5000 0.5000  6 Co 2.53
Co 0.6652 0.6652 0.6652  6 Co 2.43-2.47
Co 0.4172 0.4172 0.9210  7 Co 2.43-2.53
Pm 0.0000 0.0000 0.0000  18 Co 2.88-3.19

ΔE_f ... -1.608 eV/f.u.
Total magnetization ... 10.32 μB per cell
Space-group type ... R-3m
Final energy ... -0.487 Ry/atom

Entry 7:
Computed, not measured: a relaxed SrHfTe crystal at the GGA-PBE level of DFT.

Unit cell a=5.4331 b=5.4331 c=5.4331 alpha=60.00 beta=60.00 gamma=60.00
Closest atoms and distances in Å follow each position.
Positions (direct):
Sr 0.0000 0.0000 0.0000  4 Te 3.33, 4 Hf 3.33
Hf 0.2500 0.2500 0.2500  4 Sr 3.33
Te 0.7500 0.7500 0.7500  4 Sr 3.33

ΔE to the lowest computed polymorph ... 606 meV/atom
Total magnetization ... 2.22 μB per cell
Space-group type ... F-43m
Final energy ... -0.308 Ry/atom

Entry 8:
Computed, not measured: a relaxed TmAlAs crystal at the GGA-PBE level of DFT.

Unit cell a=4.7663 b=4.7663 c=4.7663 alpha=60.00 beta=60.00 gamma=60.00
Closest atoms and distances in Å follow each position.
Positions (direct):
As 0.7500 0.7500 0.7500  4 Tm 2.92
Al 0.2500 0.2500 0.2500  4 Tm 2.92
Tm 0.0000 0.0000 0.0000  4 Al 2.92, 4 As 2.92

Total magnetization ... 0.01 μB per cell
Space-group type ... F-43m
Final energy ... -0.324 Ry/atom